Record 1
The following is a PBE-GGA calculation of a geometry-optimized BiAuOF2 structure, from Alexandria. Values from VASP.

Total magnetic moment, μB per cell: 0.0
Formation energy (no corrections), eV/atom: -0.967

```
&SYSTEM
  ibrav = 0, nat = 5, ntyp = 4
/
ATOMIC_SPECIES
Au 196.97 Au.upf
Bi 208.98 Bi.upf
O 16.00 O.upf
F 19.00 F.upf
ATOMIC_POSITIONS crystal
Au 0.500 0.500 0.500
Bi 0.000 0.000 0.000
O 0.000 0.000 0.500
F 0.000 0.500 0.000
F 0.500 0.000 0.000
CELL_PARAMETERS angstrom
-1.412 0.241 -4.318
-3.565 -2.637 1.018
-2.410 3.640 0.991
```

Record 2
The following is a PBE-GGA calculation of a geometry-optimized BiPdAu2F structure, from Alexandria. Values from VASP.

Total magnetic moment, μB per cell: 0.0
Formation energy (no corrections), eV/atom: 0.150

```
&SYSTEM
  ibrav = 0, nat = 5, ntyp = 4
/
ATOMIC_SPECIES
Au 196.97 Au.upf
Bi 208.98 Bi.upf
Pd 106.42 Pd.upf
F 19.00 F.upf
ATOMIC_POSITIONS crystal
Au 0.000 0.000 0.500
Au 0.500 0.000 0.000
Bi 0.000 0.500 0.000
Pd 0.500 0.500 0.500
F 0.000 0.000 0.000
CELL_PARAMETERS angstrom
-0.986 0.085 -4.622
-4.546 -0.003 0.970
0.015 4.726 0.083
```

Record 3
The following is a PBE-GGA calculation of a geometry-optimized Rb8BiAu2F structure, from Alexandria. Values from VASP.

Total magnetic moment, μB per cell: 0.0
Formation energy (no corrections), eV/atom: -0.579

```
&SYSTEM
  ibrav = 0, nat = 12, ntyp = 4
/
ATOMIC_SPECIES
Rb 85.47 Rb.upf
Bi 208.98 Bi.upf
Au 196.97 Au.upf
F 19.00 F.upf
ATOMIC_POSITIONS crystal
Rb 0.174 0.793 0.212
Rb 0.728 0.758 0.999
Rb 0.825 0.206 0.211
Rb 0.826 0.207 0.788
Rb 0.272 0.242 0.001
Rb 0.175 0.794 0.789
Rb 0.665 0.710 0.500
Rb 0.335 0.290 0.500
Bi 0.000 0.000 0.500
Au 0.500 0.500 0.786
Au 0.500 0.500 0.214
F 0.000 0.000 0.000
CELL_PARAMETERS angstrom
-0.429 -8.043 0.915
1.265 0.631 7.942
-9.823 0.693 1.524
```

Record 4
The following is a PBE-GGA calculation of a geometry-optimized Re2BiAuF structure, from Alexandria. Values from VASP.

Total magnetic moment, μB per cell: 6.2
Formation energy (no corrections), eV/atom: 1.597

```
&SYSTEM
  ibrav = 0, nat = 5, ntyp = 4
/
ATOMIC_SPECIES
Re 186.21 Re.upf
Au 196.97 Au.upf
Bi 208.98 Bi.upf
F 19.00 F.upf
ATOMIC_POSITIONS crystal
Re 0.000 0.000 0.500
Re 0.500 0.000 0.000
Au 0.000 0.000 0.000
Bi 0.500 0.500 0.500
F 0.000 0.500 0.000
CELL_PARAMETERS angstrom
-4.879 -1.458 -0.720
0.824 -3.706 1.923
-1.286 2.065 4.531
```

Record 5
The following is a PBE-GGA calculation of a geometry-optimized BiAu2SF structure, from Alexandria. Values from VASP.

Total magnetic moment, μB per cell: 1.5
Formation energy (no corrections), eV/atom: 0.119

```
&SYSTEM
  ibrav = 0, nat = 5, ntyp = 4
/
ATOMIC_SPECIES
S 32.06 S.upf
Au 196.97 Au.upf
Bi 208.98 Bi.upf
F 19.00 F.upf
ATOMIC_POSITIONS crystal
S 0.500 0.500 0.500
Au 0.000 0.000 0.500
Au 0.500 0.000 0.000
Bi 0.000 0.000 0.000
F 0.000 0.500 0.000
CELL_PARAMETERS angstrom
-1.540 -4.765 -2.027
2.384 0.778 -3.641
4.280 -2.362 2.299
```

Record 6
The following is a PBE-GGA calculation of a geometry-optimized ScBiAuF2 structure, from Alexandria. Values from VASP.

Total magnetic moment, μB per cell: 0.0
Formation energy (no corrections), eV/atom: -2.088

```
&SYSTEM
  ibrav = 0, nat = 5, ntyp = 4
/
ATOMIC_SPECIES
Sc 44.96 Sc.upf
Au 196.97 Au.upf
Bi 208.98 Bi.upf
F 19.00 F.upf
ATOMIC_POSITIONS crystal
Sc 0.000 0.000 0.000
Au 0.500 0.500 0.500
Bi 0.000 0.000 0.500
F 0.000 0.500 0.000
F 0.500 0.000 0.000
CELL_PARAMETERS angstrom
4.074 0.000 0.000
0.000 4.074 0.000
0.000 0.000 6.393
```

Record 7
The following is a PBE-GGA calculation of a geometry-optimized SnBiAu2F structure, from Alexandria. Values from VASP.

Total magnetic moment, μB per cell: 0.0
Formation energy (no corrections), eV/atom: -0.031

```
&SYSTEM
  ibrav = 0, nat = 5, ntyp = 4
/
ATOMIC_SPECIES
F 19.00 F.upf
Au 196.97 Au.upf
Bi 208.98 Bi.upf
Sn 118.71 Sn.upf
ATOMIC_POSITIONS crystal
F 0.000 0.000 0.000
Au 0.000 0.000 0.500
Au 0.500 0.000 0.000
Bi 0.000 0.500 0.000
Sn 0.500 0.500 0.500
CELL_PARAMETERS angstrom
-1.082 1.075 4.824
-4.433 0.218 -1.043
-0.477 -4.938 0.993
```

Record 8
The following is a PBE-GGA calculation of a geometry-optimized SnBiAuF2 structure, from Alexandria. Values from VASP.

Total magnetic moment, μB per cell: 0.7
Formation energy (no corrections), eV/atom: -1.082

```
&SYSTEM
  ibrav = 0, nat = 5, ntyp = 4
/
ATOMIC_SPECIES
F 19.00 F.upf
Au 196.97 Au.upf
Bi 208.98 Bi.upf
Sn 118.71 Sn.upf
ATOMIC_POSITIONS crystal
F 0.000 0.500 0.000
F 0.500 0.000 0.000
Au 0.000 0.000 0.500
Bi 0.500 0.500 0.500
Sn 0.000 0.000 0.000
CELL_PARAMETERS angstrom
-3.037 -3.104 -0.544
1.724 -2.270 3.321
-3.371 2.671 3.575
```

Record 9
The following is a PBE-GGA calculation of a geometry-optimized BiTe2AuF structure, from Alexandria. Values from VASP.

Total magnetic moment, μB per cell: 0.0
Formation energy (no corrections), eV/atom: 0.255

```
&SYSTEM
  ibrav = 0, nat = 5, ntyp = 4
/
ATOMIC_SPECIES
Te 127.60 Te.upf
Au 196.97 Au.upf
Bi 208.98 Bi.upf
F 19.00 F.upf
ATOMIC_POSITIONS crystal
Te 0.000 0.000 0.500
Te 0.500 0.000 0.000
Au 0.000 0.000 0.000
Bi 0.000 0.500 0.000
F 0.500 0.500 0.500
CELL_PARAMETERS angstrom
5.380 0.000 0.000
0.000 5.665 0.000
0.000 0.000 5.380
```

Record 10
The following is a PBE-GGA calculation of a geometry-optimized TlBiAuF2 structure, from Alexandria. Values from VASP.

Total magnetic moment, μB per cell: 0.0
Formation energy (no corrections), eV/atom: -1.237

```
&SYSTEM
  ibrav = 0, nat = 5, ntyp = 4
/
ATOMIC_SPECIES
Tl 204.38 Tl.upf
Au 196.97 Au.upf
Bi 208.98 Bi.upf
F 19.00 F.upf
ATOMIC_POSITIONS crystal
Tl 0.500 0.500 0.500
Au 0.000 0.000 0.500
Bi 0.000 0.000 0.000
F 0.000 0.500 0.000
F 0.500 0.000 0.000
CELL_PARAMETERS angstrom
4.594 0.000 0.000
0.000 4.594 0.000
0.000 0.000 5.639
```

Record 11
The following is a PBE-GGA calculation of a geometry-optimized FeBiAu3 structure, from Alexandria. Values from VASP.

Total magnetic moment, μB per cell: 2.9
Formation enthalpy at 0 K, eV per atom: 0.534

```
&SYSTEM
  ibrav = 0, nat = 5, ntyp = 3
/
ATOMIC_SPECIES
Au 196.97 Au.upf
Bi 208.98 Bi.upf
Fe 55.84 Fe.upf
ATOMIC_POSITIONS crystal
Au 0.000 0.500 0.000
Au 0.000 0.000 0.500
Au 0.500 0.000 0.000
Bi 0.500 0.500 0.500
Fe 0.000 0.000 0.000
CELL_PARAMETERS angstrom
4.866 0.000 0.000
0.000 4.866 0.000
0.000 0.000 4.866
```

Record 12
The following is a PBE-GGA calculation of a geometry-optimized FeBi2Au2 structure, from Alexandria. Values from VASP.

Total magnetic moment, μB per cell: 6.3
Formation enthalpy at 0 K, eV per atom: 0.290

```
&SYSTEM
  ibrav = 0, nat = 10, ntyp = 3
/
ATOMIC_SPECIES
Au 196.97 Au.upf
Bi 208.98 Bi.upf
Fe 55.84 Fe.upf
ATOMIC_POSITIONS crystal
Au 0.357 0.857 0.000
Au 0.857 0.643 0.000
Au 0.643 0.143 0.000
Au 0.143 0.357 0.000
Bi 0.173 0.673 0.500
Bi 0.673 0.827 0.500
Bi 0.827 0.327 0.500
Bi 0.327 0.173 0.500
Fe 0.000 0.000 0.000
Fe 0.500 0.500 0.000
CELL_PARAMETERS angstrom
7.131 0.000 0.000
0.000 7.131 0.000
0.000 0.000 4.533
```

Record 13
The following is a PBE-GGA calculation of a geometry-optimized Fe2BiAu structure, from Alexandria. Values from VASP.

Total magnetic moment, μB per cell: 11.1
Formation enthalpy at 0 K, eV per atom: 0.603

```
&SYSTEM
  ibrav = 0, nat = 8, ntyp = 3
/
ATOMIC_SPECIES
Au 196.97 Au.upf
Bi 208.98 Bi.upf
Fe 55.84 Fe.upf
ATOMIC_POSITIONS crystal
Au 0.500 0.500 0.000
Au 0.250 0.750 0.500
Bi 0.000 0.000 0.000
Bi 0.750 0.250 0.500
Fe 0.549 0.125 0.250
Fe 0.201 0.625 0.250
Fe 0.375 0.451 0.750
Fe 0.875 0.799 0.750
CELL_PARAMETERS angstrom
4.128 0.000 0.000
0.000 4.128 0.000
2.064 2.064 9.378
```

Record 14
The following is a PBE-GGA calculation of a geometry-optimized LiFeBi2Au structure, from Alexandria. Values from VASP.

Total magnetic moment, μB per cell: 3.0
Formation enthalpy at 0 K, eV per atom: 0.653

```
&SYSTEM
  ibrav = 0, nat = 5, ntyp = 4
/
ATOMIC_SPECIES
Li 6.94 Li.upf
Au 196.97 Au.upf
Bi 208.98 Bi.upf
Fe 55.84 Fe.upf
ATOMIC_POSITIONS crystal
Li 0.000 0.000 0.000
Au 0.000 0.500 0.000
Bi 0.000 0.000 0.500
Bi 0.500 0.000 0.000
Fe 0.500 0.500 0.500
CELL_PARAMETERS angstrom
-1.015 3.664 3.353
-4.425 -0.966 -0.283
0.485 -3.333 3.789
```

Record 15
The following is a PBE-GGA calculation of a geometry-optimized Mn2FeBiAu structure, from Alexandria. Values from VASP.

Total magnetic moment, μB per cell: 11.5
Formation enthalpy at 0 K, eV per atom: 0.819

```
&SYSTEM
  ibrav = 0, nat = 5, ntyp = 4
/
ATOMIC_SPECIES
Mn 54.94 Mn.upf
Au 196.97 Au.upf
Bi 208.98 Bi.upf
Fe 55.84 Fe.upf
ATOMIC_POSITIONS crystal
Mn 0.000 0.000 0.500
Mn 0.500 0.000 0.000
Au 0.000 0.000 0.000
Bi 0.500 0.500 0.500
Fe 0.000 0.500 0.000
CELL_PARAMETERS angstrom
-2.517 -2.280 -3.572
-2.692 -2.210 3.308
-3.214 3.735 -0.120
```

Record 16
The following is a PBE-GGA calculation of a geometry-optimized Fe2BiMoAu structure, from Alexandria. Values from VASP.

Total magnetic moment, μB per cell: 9.1
Formation enthalpy at 0 K, eV per atom: 1.353

```
&SYSTEM
  ibrav = 0, nat = 5, ntyp = 4
/
ATOMIC_SPECIES
Mo 95.94 Mo.upf
Au 196.97 Au.upf
Bi 208.98 Bi.upf
Fe 55.84 Fe.upf
ATOMIC_POSITIONS crystal
Mo 0.000 0.500 0.000
Au 0.000 0.000 0.000
Bi 0.500 0.500 0.500
Fe 0.000 0.000 0.500
Fe 0.500 0.000 0.000
CELL_PARAMETERS angstrom
4.756 0.000 0.000
0.000 5.130 0.000
0.000 0.000 4.756
```

Record 17
The following is a PBE-GGA calculation of a geometry-optimized Fe2BiPAu structure, from Alexandria. Values from VASP.

Total magnetic moment, μB per cell: 0.1
Formation enthalpy at 0 K, eV per atom: 1.957

```
&SYSTEM
  ibrav = 0, nat = 5, ntyp = 4
/
ATOMIC_SPECIES
P 30.97 P.upf
Au 196.97 Au.upf
Bi 208.98 Bi.upf
Fe 55.84 Fe.upf
ATOMIC_POSITIONS crystal
P 0.500 0.500 0.500
Au 0.000 0.500 0.000
Bi 0.000 0.000 0.000
Fe 0.000 0.000 0.500
Fe 0.500 0.000 0.000
CELL_PARAMETERS angstrom
4.797 0.000 0.000
0.000 5.267 0.000
0.000 0.000 4.797
```

Record 18
The following is a PBE-GGA calculation of a geometry-optimized FeBiP2Au structure, from Alexandria. Values from VASP.

Total magnetic moment, μB per cell: 0.0
Formation enthalpy at 0 K, eV per atom: 0.308

```
&SYSTEM
  ibrav = 0, nat = 5, ntyp = 4
/
ATOMIC_SPECIES
P 30.97 P.upf
Au 196.97 Au.upf
Bi 208.98 Bi.upf
Fe 55.84 Fe.upf
ATOMIC_POSITIONS crystal
P 0.000 0.000 0.500
P 0.500 0.000 0.000
Au 0.000 0.500 0.000
Bi 0.500 0.500 0.500
Fe 0.000 0.000 0.000
CELL_PARAMETERS angstrom
4.273 0.000 0.000
0.000 5.271 0.000
0.000 0.000 4.273
```

Record 19
The following is a PBE-GGA calculation of a geometry-optimized FeBi2PtAu structure, from Alexandria. Values from VASP.

Total magnetic moment, μB per cell: 3.1
Formation enthalpy at 0 K, eV per atom: 1.055

```
&SYSTEM
  ibrav = 0, nat = 5, ntyp = 4
/
ATOMIC_SPECIES
Au 196.97 Au.upf
Bi 208.98 Bi.upf
Pt 195.08 Pt.upf
Fe 55.84 Fe.upf
ATOMIC_POSITIONS crystal
Au 0.000 0.000 0.000
Bi 0.000 0.000 0.500
Bi 0.500 0.000 0.000
Pt 0.500 0.500 0.500
Fe 0.000 0.500 0.000
CELL_PARAMETERS angstrom
5.415 0.000 0.000
0.000 4.778 0.000
0.000 0.000 5.415
```

Record 20
The following is a PBE-GGA calculation of a geometry-optimized FeReBi2Au structure, from Alexandria. Values from VASP.

Total magnetic moment, μB per cell: 1.1
Formation enthalpy at 0 K, eV per atom: 1.118

```
&SYSTEM
  ibrav = 0, nat = 5, ntyp = 4
/
ATOMIC_SPECIES
Re 186.21 Re.upf
Au 196.97 Au.upf
Bi 208.98 Bi.upf
Fe 55.84 Fe.upf
ATOMIC_POSITIONS crystal
Re 0.000 0.500 0.000
Au 0.500 0.500 0.500
Bi 0.000 0.000 0.500
Bi 0.500 0.000 0.000
Fe 0.000 0.000 0.000
CELL_PARAMETERS angstrom
5.012 0.000 0.000
0.000 4.543 0.000
0.000 0.000 5.012
```